{
  "formula": "BaAsSe",
  "functional": "PBE",
  "state": "relaxed",
  "formation_energy_uncorrected_ev_per_atom": -0.3332,
  "total_energy_ev_per_atom": -3.69,
  "polymorph_energy_mev_per_atom": 753,
  "volume_a3_per_cell": 108.6,
  "lattice": [[5.356, 0.000, 0.000], [2.678, 4.638, 0.000], [2.678, 1.546, 4.373]],
  "species": ["As", "Ba", "Se"],
  "fractional_positions": [[0.500, 0.500, 0.500], [0.750, 0.750, 0.750], [0.000, 0.000, 0.000]]
}

{
  "formula": "BaAs2Se",
  "functional": "PBE",
  "state": "relaxed",
  "formation_energy_uncorrected_ev_per_atom": -0.2452,
  "total_energy_ev_per_atom": -3.92,
  "volume_a3_per_cell": 104.1,
  "lattice": [[5.755, 0.001, 0.000], [1.898, 5.433, 0.000], [-3.826, -2.717, 3.331]],
  "species": ["As", "As", "Ba", "Se"],
  "fractional_positions": [[0.000, 0.000, 0.000], [0.250, 0.750, 0.500], [0.500, 0.500, 0.000], [0.750, 0.250, 0.500]]
}

{
  "formula": "BaAs2Se",
  "functional": "PBE",
  "state": "relaxed",
  "formation_energy_uncorrected_ev_per_atom": -0.3787,
  "total_energy_ev_per_atom": -4.06,
  "volume_a3_per_cell": 107.0,
  "lattice": [[6.410, 0.001, 0.000], [3.438, 5.410, 0.000], [-4.924, -2.705, 3.086]],
  "species": ["As", "As", "Ba", "Se"],
  "fractional_positions": [[0.000, 0.000, 0.000], [0.500, 0.500, 0.000], [0.250, 0.750, 0.500], [0.750, 0.250, 0.500]]
}

{
  "formula": "BaAsSe4",
  "functional": "PBE",
  "state": "relaxed",
  "formation_energy_uncorrected_ev_per_atom": -0.5998,
  "total_energy_ev_per_atom": -4.02,
  "polymorph_energy_mev_per_atom": 0,
  "volume_a3_per_cell": 358.8,
  "lattice": [[5.355, 0.000, 0.000], [-2.677, 6.964, 0.486], [0.000, -1.826, 9.493]],
  "species": ["Ba", "Ba", "As", "As", "Se", "Se", "Se", "Se", "Se", "Se", "Se", "Se"],
  "fractional_positions": [[0.354, 0.000, 0.250], [0.646, 0.000, 0.750], [0.500, 0.500, 0.000], [0.000, 0.500, 0.500], [0.293, 0.535, 0.256], [0.758, 0.465, 0.244], [0.707, 0.465, 0.744], [0.242, 0.535, 0.756], [0.076, 0.875, 0.546], [0.201, 0.125, 0.954], [0.924, 0.125, 0.454], [0.799, 0.875, 0.046]]
}

{
  "formula": "Ba2As2Se5",
  "functional": "PBE",
  "state": "relaxed",
  "formation_energy_uncorrected_ev_per_atom": -0.9662,
  "total_energy_ev_per_atom": -4.36,
  "polymorph_energy_mev_per_atom": 75,
  "volume_a3_per_cell": 599.9,
  "lattice": [[-0.034, 0.615, -7.284], [-0.743, -7.232, -0.607], [-10.796, 4.505, 4.099]],
  "species": ["Ba", "Ba", "Ba", "Ba", "As", "As", "As", "As", "Se", "Se", "Se", "Se", "Se", "Se", "Se", "Se", "Se", "Se"],
  "fractional_positions": [[0.887, 0.412, 0.799], [0.106, 0.623, 0.194], [0.412, 0.912, 0.799], [0.589, 0.123, 0.194], [0.016, 0.066, 0.035], [0.519, 0.566, 0.035], [0.672, 0.699, 0.518], [0.346, 0.199, 0.518], [0.243, 0.257, 0.988], [0.745, 0.261, 0.995], [0.245, 0.757, 0.988], [0.750, 0.761, 0.995], [0.849, 0.857, 0.718], [0.126, 0.168, 0.252], [0.370, 0.357, 0.718], [0.626, 0.668, 0.252], [0.646, 0.322, 0.501], [0.354, 0.822, 0.501]]
}

{
  "formula": "BaAsSe4",
  "functional": "PBE",
  "state": "relaxed",
  "formation_energy_uncorrected_ev_per_atom": -0.0527,
  "total_energy_ev_per_atom": -3.47,
  "polymorph_energy_mev_per_atom": 547,
  "volume_a3_per_cell": 147.3,
  "lattice": [[0.000, 4.192, 4.192], [4.192, 0.000, 4.192], [4.192, 4.192, 0.000]],
  "species": ["Ba", "As", "Se", "Se", "Se", "Se"],
  "fractional_positions": [[0.000, 0.000, 0.000], [0.750, 0.750, 0.750], [0.871, 0.376, 0.376], [0.376, 0.376, 0.871], [0.376, 0.871, 0.376], [0.376, 0.376, 0.376]]
}

{
  "formula": "Ba5AsSe8",
  "functional": "PBE",
  "state": "relaxed",
  "formation_energy_uncorrected_ev_per_atom": -1.2573,
  "total_energy_ev_per_atom": -4.27,
  "volume_a3_per_cell": 491.2,
  "lattice": [[-5.310, -6.490, 2.293], [8.488, -1.577, 1.022], [-3.306, 6.161, 5.167]],
  "species": ["Ba", "Ba", "Ba", "Ba", "Ba", "As", "Se", "Se", "Se", "Se", "Se", "Se", "Se", "Se"],
  "fractional_positions": [[0.011, 0.393, 0.127], [0.873, 0.883, 0.266], [0.734, 0.607, 0.617], [0.500, 0.000, 0.500], [0.383, 0.117, 0.989], [0.250, 0.500, 0.750], [0.069, 0.633, 0.892], [0.108, 0.177, 0.741], [0.728, 0.216, 0.314], [0.686, 0.414, 0.902], [0.488, 0.586, 0.272], [0.563, 0.823, 0.931], [0.259, 0.367, 0.437], [0.098, 0.784, 0.512]]
}

{
  "formula": "BaAs2Se",
  "functional": "PBE",
  "state": "relaxed",
  "formation_energy_uncorrected_ev_per_atom": -0.6991,
  "total_energy_ev_per_atom": -4.38,
  "volume_a3_per_cell": 118.1,
  "lattice": [[6.013, -0.142, 0.148], [4.458, 4.038, 0.148], [0.685, 0.255, 4.759]],
  "species": ["As", "As", "Ba", "Se"],
  "fractional_positions": [[0.980, 0.980, 0.880], [0.520, 0.520, 0.620], [0.250, 0.250, 0.250], [0.750, 0.750, 0.750]]
}

{
  "formula": "BaAsSe3",
  "functional": "PBE",
  "state": "relaxed",
  "formation_energy_uncorrected_ev_per_atom": -0.8451,
  "total_energy_ev_per_atom": -4.25,
  "volume_a3_per_cell": 622.8,
  "lattice": [[7.071, 0.000, 0.000], [0.000, 9.088, 0.000], [0.000, 0.000, 9.691]],
  "species": ["Ba", "Ba", "Ba", "Ba", "As", "As", "As", "As", "Se", "Se", "Se", "Se", "Se", "Se", "Se", "Se", "Se", "Se", "Se", "Se"],
  "fractional_positions": [[0.057, 0.091, 0.728], [0.443, 0.591, 0.728], [0.557, 0.409, 0.228], [0.943, 0.909, 0.228], [0.456, 0.904, 0.002], [0.544, 0.096, 0.502], [0.044, 0.404, 0.002], [0.956, 0.596, 0.502], [0.840, 0.195, 0.440], [0.826, 0.208, 0.011], [0.160, 0.805, 0.940], [0.174, 0.792, 0.511], [0.326, 0.292, 0.511], [0.559, 0.978, 0.730], [0.674, 0.708, 0.011], [0.941, 0.478, 0.730], [0.660, 0.695, 0.440], [0.340, 0.305, 0.940], [0.059, 0.522, 0.230], [0.441, 0.022, 0.230]]
}

{
  "formula": "BaAs2Se4",
  "functional": "PBE",
  "state": "relaxed",
  "formation_energy_uncorrected_ev_per_atom": -0.4995,
  "total_energy_ev_per_atom": -4.09,
  "polymorph_energy_mev_per_atom": 152,
  "volume_a3_per_cell": 223.9,
  "lattice": [[-1.529, -1.786, 6.266], [-4.487, -0.603, -4.929], [4.911, -4.200, -1.742]],
  "species": ["Ba", "As", "As", "Se", "Se", "Se", "Se"],
  "fractional_positions": [[0.500, 0.500, 0.000], [0.250, 0.750, 0.500], [0.750, 0.250, 0.500], [0.302, 0.145, 0.447], [0.855, 0.302, 0.157], [0.145, 0.698, 0.843], [0.698, 0.855, 0.553]]
}

{
  "formula": "BaAs2Se",
  "functional": "PBE",
  "state": "relaxed",
  "formation_energy_uncorrected_ev_per_atom": -0.4038,
  "total_energy_ev_per_atom": -4.08,
  "volume_a3_per_cell": 103.5,
  "lattice": [[-1.591, 3.556, -4.483], [-3.996, -2.545, -3.582], [0.795, 1.558, 5.676]],
  "species": ["As", "As", "Ba", "Se"],
  "fractional_positions": [[0.962, 0.962, 0.000], [0.538, 0.538, 0.000], [0.250, 0.750, 0.500], [0.750, 0.250, 0.500]]
}

{
  "formula": "Ba2As2Se5",
  "functional": "PBE",
  "state": "relaxed",
  "formation_energy_uncorrected_ev_per_atom": -1.0409,
  "total_energy_ev_per_atom": -4.44,
  "polymorph_energy_mev_per_atom": 0,
  "volume_a3_per_cell": 1103.8,
  "lattice": [[12.628, 0.000, 0.000], [0.000, 9.550, 0.002], [0.000, 4.668, 9.153]],
  "species": ["As", "As", "As", "As", "As", "As", "As", "As", "Ba", "Ba", "Ba", "Ba", "Ba", "Ba", "Ba", "Ba", "Se", "Se", "Se", "Se", "Se", "Se", "Se", "Se", "Se", "Se", "Se", "Se", "Se", "Se", "Se", "Se", "Se", "Se", "Se", "Se"],
  "fractional_positions": [[0.198, 0.037, 0.489], [0.698, 0.963, 0.511], [0.582, 0.606, 0.262], [0.082, 0.394, 0.738], [0.122, 0.763, 0.753], [0.622, 0.237, 0.247], [0.011, 0.782, 0.008], [0.511, 0.218, 0.992], [0.274, 0.924, 0.142], [0.774, 0.076, 0.858], [0.281, 0.417, 0.159], [0.781, 0.583, 0.841], [0.434, 0.670, 0.645], [0.934, 0.330, 0.355], [0.431, 0.177, 0.653], [0.931, 0.823, 0.347], [0.105, 0.628, 0.237], [0.605, 0.372, 0.763], [0.604, 0.885, 0.738], [0.104, 0.115, 0.262], [0.790, 0.215, 0.140], [0.290, 0.785, 0.860], [0.407, 0.567, 0.367], [0.907, 0.433, 0.633], [0.185, 0.270, 0.521], [0.685, 0.730, 0.479], [0.520, 0.957, 0.012], [0.020, 0.043, 0.988], [0.165, 0.660, 0.573], [0.665, 0.340, 0.427], [0.553, 0.509, 0.074], [0.053, 0.491, 0.926], [0.379, 0.048, 0.395], [0.879, 0.952, 0.605], [0.332, 0.298, 0.900], [0.832, 0.702, 0.100]]
}

{
  "formula": "Ba4AsSe3",
  "functional": "PBE",
  "state": "relaxed",
  "formation_energy_uncorrected_ev_per_atom": -1.7135,
  "total_energy_ev_per_atom": -4.56,
  "volume_a3_per_cell": 299.5,
  "lattice": [[-6.307, -2.034, 0.920], [1.830, -6.290, -1.362], [1.279, -1.032, 6.485]],
  "species": ["As", "Ba", "Ba", "Ba", "Ba", "Se", "Se", "Se"],
  "fractional_positions": [[0.000, 0.000, 0.000], [0.500, 0.000, 0.000], [0.000, 0.500, 0.000], [0.000, 0.000, 0.500], [0.500, 0.500, 0.500], [0.000, 0.500, 0.500], [0.500, 0.000, 0.500], [0.500, 0.500, 0.000]]
}

{
  "formula": "Ba4AsSe2",
  "functional": "PBE",
  "state": "relaxed",
  "formation_energy_uncorrected_ev_per_atom": -1.4982,
  "total_energy_ev_per_atom": -4.26,
  "volume_a3_per_cell": 561.2,
  "lattice": [[4.674, 0.000, 0.000], [-2.337, 7.661, 0.000], [0.000, 0.000, 15.673]],
  "species": ["As", "As", "Ba", "Ba", "Ba", "Ba", "Ba", "Ba", "Ba", "Ba", "Se", "Se", "Se", "Se"],
  "fractional_positions": [[0.614, 0.228, 0.750], [0.386, 0.772, 0.250], [0.777, 0.555, 0.127], [0.777, 0.555, 0.373], [0.223, 0.445, 0.873], [0.223, 0.445, 0.627], [0.960, 0.920, 0.750], [0.040, 0.080, 0.250], [0.500, 0.000, 0.000], [0.500, 0.000, 0.500], [0.135, 0.271, 0.439], [0.865, 0.729, 0.939], [0.135, 0.271, 0.061], [0.865, 0.729, 0.561]]
}

{
  "formula": "Ba6AsSe4",
  "functional": "PBE",
  "state": "relaxed",
  "formation_energy_uncorrected_ev_per_atom": -1.5337,
  "total_energy_ev_per_atom": -4.27,
  "volume_a3_per_cell": 829.0,
  "lattice": [[9.394, -0.054, -0.025], [0.025, 9.394, -0.025], [0.054, 0.054, 9.394]],
  "species": ["Ba", "Ba", "Ba", "Ba", "Ba", "Ba", "Ba", "Ba", "Ba", "Ba", "Ba", "Ba", "As", "As", "Se", "Se", "Se", "Se", "Se", "Se", "Se", "Se"],
  "fractional_positions": [[0.688, 0.052, 0.076], [0.076, 0.312, 0.052], [0.576, 0.448, 0.188], [0.948, 0.076, 0.688], [0.552, 0.188, 0.576], [0.188, 0.424, 0.448], [0.812, 0.576, 0.552], [0.448, 0.812, 0.424], [0.052, 0.924, 0.312], [0.424, 0.552, 0.812], [0.924, 0.688, 0.948], [0.312, 0.948, 0.924], [0.500, 0.500, 0.500], [0.000, 0.000, 0.000], [0.369, 0.131, 0.250], [0.869, 0.250, 0.369], [0.250, 0.631, 0.131], [0.250, 0.250, 0.750], [0.750, 0.750, 0.250], [0.750, 0.369, 0.869], [0.131, 0.750, 0.631], [0.631, 0.869, 0.750]]
}

{
  "formula": "BaAs2Se",
  "functional": "PBE",
  "state": "relaxed",
  "formation_energy_uncorrected_ev_per_atom": -0.3820,
  "total_energy_ev_per_atom": -4.06,
  "volume_a3_per_cell": 103.5,
  "lattice": [[4.483, 0.000, 0.000], [0.000, 4.478, 0.000], [0.000, 0.000, 5.157]],
  "species": ["As", "As", "Ba", "Se"],
  "fractional_positions": [[0.000, 0.000, 0.000], [0.500, 0.500, 0.000], [0.500, 0.000, 0.500], [0.000, 0.500, 0.500]]
}

{
  "formula": "BaAs2Se4",
  "functional": "PBE",
  "state": "relaxed",
  "formation_energy_uncorrected_ev_per_atom": -0.6515,
  "total_energy_ev_per_atom": -4.25,
  "polymorph_energy_mev_per_atom": 0,
  "volume_a3_per_cell": 432.1,
  "lattice": [[-7.597, 0.569, -6.506], [8.231, -5.509, -1.470], [-2.253, -1.715, 6.419]],
  "species": ["As", "As", "As", "As", "Ba", "Ba", "Se", "Se", "Se", "Se", "Se", "Se", "Se", "Se"],
  "fractional_positions": [[0.666, 0.290, 0.734], [0.596, 0.391, 0.197], [0.058, 0.353, 0.700], [0.695, 0.819, 0.236], [0.164, 0.730, 0.519], [0.040, 0.105, 0.020], [0.867, 0.229, 0.259], [0.564, 0.608, 0.384], [0.618, 0.010, 0.631], [0.430, 0.144, 0.274], [0.025, 0.570, 0.883], [0.381, 0.596, 0.777], [0.869, 0.762, 0.130], [0.278, 0.142, 0.757]]
}

{
  "formula": "Ba2AsSe5",
  "functional": "PBE",
  "state": "relaxed",
  "formation_energy_uncorrected_ev_per_atom": -1.0171,
  "total_energy_ev_per_atom": -4.26,
  "volume_a3_per_cell": 250.2,
  "lattice": [[7.653, -0.018, 0.036], [-0.018, 7.661, 0.037], [-3.796, -3.800, 4.232]],
  "species": ["Ba", "Ba", "As", "Se", "Se", "Se", "Se", "Se"],
  "fractional_positions": [[0.281, 0.793, 0.556], [0.792, 0.281, 0.556], [0.930, 0.929, 0.912], [0.822, 0.275, 0.082], [0.311, 0.312, 0.092], [0.760, 0.761, 0.013], [0.275, 0.821, 0.081], [0.606, 0.605, 0.261]]
}

{
  "formula": "BaAs2Se",
  "functional": "PBE",
  "state": "relaxed",
  "formation_energy_uncorrected_ev_per_atom": -0.6179,
  "total_energy_ev_per_atom": -4.29,
  "volume_a3_per_cell": 118.6,
  "lattice": [[5.380, 0.000, 0.000], [0.000, 4.882, -0.117], [0.000, 0.227, 4.508]],
  "species": ["As", "As", "Ba", "Se"],
  "fractional_positions": [[0.000, 0.873, 0.000], [0.000, 0.627, 0.500], [0.500, 0.250, 0.250], [0.500, 0.750, 0.750]]
}

{
  "formula": "BaAs4Se",
  "functional": "PBE",
  "state": "relaxed",
  "formation_energy_uncorrected_ev_per_atom": -0.3368,
  "total_energy_ev_per_atom": -4.34,
  "volume_a3_per_cell": 162.3,
  "lattice": [[0.300, -4.451, 4.195], [-5.147, -2.443, 2.244], [-1.576, -5.726, -1.493]],
  "species": ["Ba", "As", "As", "As", "As", "Se"],
  "fractional_positions": [[0.750, 0.750, 0.750], [0.945, 0.352, 0.352], [0.352, 0.352, 0.945], [0.352, 0.945, 0.352], [0.352, 0.352, 0.352], [0.000, 0.000, 0.000]]
}